RbInFeO3 after structural relaxation, computed with PBE+U.

Geometry as POSCAR:
```
RbInFeO3
1.0
3.318 0.000 0.000
0.000 6.676 -0.636
0.000 -2.480 9.759
O In Fe Rb
6 2 2 2
direct
0.750 0.903 0.196
0.250 0.097 0.804
0.250 0.789 0.471
0.250 0.541 0.887
0.750 0.459 0.113
0.750 0.211 0.529
0.250 0.686 0.112
0.750 0.314 0.888
0.250 0.117 0.607
0.750 0.883 0.393
0.250 0.305 0.303
0.750 0.695 0.697
```

Results
- VASP energy (hartree per atom) = -0.198